(1)
Ce7Si2As2 (PBE, optimized geometry); formation energy without anion corrections = -5.56 eV per formula unit; E_tot = -6.11 eV/atom; density of states at the Fermi level = 2.805 states/eV/atom; space-group type = Cmmm (65); ρ = 6.814 g/cm3
1.0
6.598 -0.003 -0.686
0.003 6.820 0.003
-1.096 -0.003 6.542
Ce Si As
7 2 2
Direct
0.000 0.302 0.500
0.500 0.698 0.000
0.000 0.698 0.500
0.500 0.302 0.000
0.000 0.000 0.000
0.500 0.702 0.500
0.500 0.298 0.500
0.848 0.500 0.848
0.152 0.500 0.152
0.714 0.000 0.286
0.286 0.000 0.714

***

(2)
CeSiAs3 (PBE, optimized geometry); formation energy without anion corrections = -2.36 eV per formula unit; E_tot = -5.53 eV/atom; density of states at the Fermi level = 0.468 states/eV/atom; space-group type = P2_1/c (14); ρ = 5.697 g/cm3
1.0
5.995 0.000 0.000
0.000 7.602 -0.379
0.000 -3.479 10.228
Ce Si As
4 4 12
Direct
0.727 0.024 0.657
0.273 0.976 0.343
0.227 0.476 0.843
0.773 0.524 0.157
0.235 0.505 0.492
0.765 0.495 0.508
0.735 0.995 0.008
0.265 0.005 0.992
0.010 0.692 0.677
0.990 0.308 0.323
0.510 0.808 0.823
0.490 0.192 0.177
0.525 0.683 0.430
0.475 0.317 0.570
0.025 0.817 0.070
0.975 0.183 0.930
0.273 0.577 0.143
0.727 0.423 0.857
0.773 0.923 0.357
0.227 0.077 0.643

***

(3)
Ce6Si2As (PBE, optimized geometry); formation energy without anion corrections = -4.71 eV per formula unit; E_tot = -6.20 eV/atom; density of states at the Fermi level = 2.900 states/eV/atom; space-group type = Immm (71); ρ = 7.256 g/cm3
1.0
8.351 -0.189 -0.123
-3.339 7.657 0.123
-2.798 -3.538 7.031
Ce Si As
12 4 2
Direct
0.532 0.730 0.802
0.468 0.270 0.198
0.072 0.270 0.802
0.928 0.730 0.198
0.795 0.754 0.549
0.205 0.246 0.451
0.205 0.754 0.958
0.795 0.246 0.042
0.734 0.420 0.686
0.266 0.580 0.314
0.266 0.952 0.686
0.734 0.048 0.314
0.500 0.384 0.884
0.500 0.616 0.116
0.622 0.000 0.622
0.378 0.000 0.378
0.000 0.500 0.500
0.000 0.000 0.000

***

(4)
Ce5Si2As2 (PBE, optimized geometry); formation energy without anion corrections = -8.35 eV per formula unit; E_tot = -6.46 eV/atom; density of states at the Fermi level = 2.652 states/eV/atom; space-group type = Cmce (64); ρ = 6.746 g/cm3
1.0
7.287 0.000 2.645
0.000 7.797 0.000
1.124 0.000 8.264
Ce Si As
10 4 4
Direct
0.000 0.000 0.000
0.500 0.500 0.000
0.458 0.177 0.725
0.816 0.823 0.725
0.316 0.677 0.725
0.958 0.323 0.725
0.542 0.823 0.275
0.184 0.177 0.275
0.684 0.323 0.275
0.042 0.677 0.275
0.113 0.386 0.000
0.887 0.614 0.000
0.387 0.886 0.000
0.613 0.114 0.000
0.205 0.000 0.589
0.705 0.500 0.589
0.795 0.000 0.411
0.295 0.500 0.411

***

| no. | spin magnetization (μB/cell) |
| --- | --- |
| 1 | 5.49 |
| 2 | 0.00 |
| 3 | 10.10 |
| 4 | 8.69 |